# 1
Computed, not measured: crystalline PmLuTlNi at its relaxed geometry at the PBE level of DFT.

Cell and atoms, written as POSCAR:
```
PmLuTlNi
1.0
7.2612 0.0000 0.0000
0.0000 7.2612 0.0000
0.0000 0.0000 7.2612
Pm Lu Tl Ni
4 4 4 4
direct
0.0000 0.0000 0.0000 Pm
0.0000 0.5000 0.5000 Pm
0.5000 0.0000 0.5000 Pm
0.5000 0.5000 0.0000 Pm
0.0000 0.0000 0.5000 Lu
0.0000 0.5000 0.0000 Lu
0.5000 0.0000 0.0000 Lu
0.5000 0.5000 0.5000 Lu
0.2500 0.2500 0.7500 Tl
0.2500 0.7500 0.2500 Tl
0.7500 0.2500 0.2500 Tl
0.7500 0.7500 0.7500 Tl
0.2500 0.2500 0.2500 Ni
0.2500 0.7500 0.7500 Ni
0.7500 0.2500 0.7500 Ni
0.7500 0.7500 0.2500 Ni
```

* ΔE_f: -0.22 eV per atom

# 2
Computed, not measured: crystalline Pr3LuNi at its relaxed geometry at the PBE level of DFT.

Cell and atoms, written as POSCAR:
```
Pr3LuNi
1.0
5.4900 0.0000 0.0000
0.0000 5.4900 0.0000
0.0000 0.0000 5.4900
Pr Lu Ni
3 1 1
direct
0.0000 0.0000 0.5000 Pr
0.0000 0.5000 0.0000 Pr
0.5000 0.0000 0.0000 Pr
0.5000 0.5000 0.5000 Lu
0.0000 0.0000 0.0000 Ni
```

* ΔE_f: 0.10 eV per atom

# 3
Computed, not measured: crystalline PrLuNi4 at its relaxed geometry at the PBE level of DFT.

Cell and atoms, written as POSCAR:
```
PrLuNi4
1.0
0.0000 3.6076 3.6076
3.6076 0.0000 3.6076
3.6076 3.6076 0.0000
Pr Lu Ni
1 1 4
direct
0.0000 0.0000 0.0000 Pr
0.2500 0.2500 0.2500 Lu
0.1287 0.6238 0.6238 Ni
0.6238 0.1287 0.6238 Ni
0.6238 0.6238 0.1287 Ni
0.6238 0.6238 0.6238 Ni
```

* ΔE_f: -0.39 eV per atom